CaRe2Hg | the Alexandria database | meta-GGA SCAN | PBEsol geometry; total magnetic moment = 0.0 μB/cell; space-group type = Immm; crystal system = orthorhombic; energy of formation = 754 meV per atom
1.0
-1.587 2.261 4.994
1.587 -2.261 4.994
1.587 2.261 -4.994
Ca Re Hg
1 2 1
Cartesian
0.000 0.000 0.000
1.587 0.000 2.612
0.000 2.261 2.383
0.000 0.000 4.994